Entry 1:
Compound: Hg2Bi2Pd7Pb
Source: the Alexandria database
Functional: PBE-GGA
Structure: optimized geometry

Cell lengths 5.6002, 5.5980, 15.8806 Å; angles 90.00, 99.91, 90.00 degrees
Space group C2/m (No. 12)
Unique sites:
Hg 0.1287 0.0000 0.2634 x4
Bi 0.1849 0.5000 0.3791 x4
Pd 0.0000 0.0000 0.0000 x2
Pd 0.1840 0.2500 0.8651 x8
Pd 0.2196 0.0000 0.4466 x4
Pb 0.0000 0.5000 0.0000 x2

Results
energy of formation: -0.126 eV per atom
E: -4.16 eV per atom
calculated volume: 490.4 Å³ per cell

Entry 2:
Compound: HgBi2Pd4Pb
Source: the Alexandria database
Functional: PBE-GGA
Structure: optimized geometry

Cell lengths 6.9506, 9.0131, 11.3922 Å; angles 90.00, 90.00, 90.00 degrees
Space group Imma (No. 74)
Unique sites:
Hg 0.2500 0.2500 0.2500 x4
Bi 0.0000 0.0000 0.0000 x4
Bi 0.2500 0.2500 0.7500 x4
Pd 0.0000 0.0073 0.2490 x8
Pd 0.2431 0.2500 0.4920 x8
Pb 0.0000 0.0000 0.5000 x4

Results
energy of formation: -0.092 eV per atom
E: -4.16 eV per atom
calculated volume: 713.7 Å³ per cell

Entry 3:
Compound: HgBi2Pd2Pb2
Source: the Alexandria database
Functional: PBE-GGA
Structure: optimized geometry

Cell lengths 5.1008, 5.1008, 15.8622 Å; angles 90.00, 90.00, 90.00 degrees
Space group I4/mmm (No. 139)
Unique sites:
Hg 0.0000 0.0000 0.0000 x2
Bi 0.0000 0.0000 0.3978 x4
Pd 0.0000 0.5000 0.0000 x4
Pb 0.0000 0.0000 0.1922 x4

Results
energy of formation: 0.137 eV per atom
E: -3.56 eV per atom
calculated volume: 412.7 Å³ per cell

Entry 4:
Compound: PmHgBiPb
Source: the Alexandria database
Functional: PBE-GGA
Structure: optimized geometry

Cell lengths 7.8092, 7.8092, 7.8092 Å; angles 90.00, 90.00, 90.00 degrees
Space group F-43m (No. 216)
Unique sites:
Pm 0.0000 0.0000 0.0000 x4
Hg 0.2500 0.2500 0.2500 x4
Bi 0.2500 0.2500 0.7500 x4
Pb 0.0000 0.0000 0.5000 x4

Results
energy of formation: -0.300 eV per atom
E: -3.46 eV per atom
calculated volume: 476.2 Å³ per cell
excess energy over the best structure of this formula in the dataset: 11.63 kJ/mol of atoms

Entry 5:
Compound: PmHgBiPb
Source: the Alexandria database
Functional: PBE-GGA
Structure: optimized geometry

Cell lengths 4.6762, 4.8364, 5.0369 Å; angles 90.00, 90.00, 90.00 degrees
Space group Pmmm (No. 47)
Unique sites:
Pm 0.0000 0.0000 0.0000 x1
Hg 0.0000 0.5000 0.5000 x1
Bi 0.5000 0.5000 0.0000 x1
Pb 0.5000 0.0000 0.5000 x1

Results
energy of formation: -0.420 eV per atom
E: -3.58 eV per atom
calculated volume: 113.9 Å³ per cell
excess energy over the best structure of this formula in the dataset: 0.00 kJ/mol of atoms

Entry 6:
Compound: Hg2BiPtPb
Source: the Alexandria database
Functional: PBE-GGA
Structure: optimized geometry

Cell lengths 5.2539, 5.2539, 5.4347 Å; angles 90.00, 90.00, 90.00 degrees
Space group P4/mmm (No. 123)
Unique sites:
Hg 0.0000 0.5000 0.0000 x2
Bi 0.0000 0.0000 0.5000 x1
Pt 0.5000 0.5000 0.0000 x1
Pb 0.5000 0.5000 0.5000 x1

Results
energy of formation: 0.163 eV per atom
E: -2.68 eV per atom
calculated volume: 150.0 Å³ per cell

Entry 7:
Compound: RbHg2BiPb
Source: the Alexandria database
Functional: PBE-GGA
Structure: optimized geometry

Cell lengths 6.0440, 6.0440, 6.1818 Å; angles 90.00, 90.00, 90.00 degrees
Space group P4/mmm (No. 123)
Unique sites:
Rb 0.0000 0.0000 0.0000 x1
Hg 0.0000 0.5000 0.5000 x2
Bi 0.5000 0.5000 0.0000 x1
Pb 0.5000 0.5000 0.5000 x1

Results
energy of formation: 0.005 eV per atom
E: -1.83 eV per atom
calculated volume: 225.8 Å³ per cell
excess energy over the best structure of this formula in the dataset: 15.87 kJ/mol of atoms

Entry 8:
Compound: RbHg2BiPb
Source: the Alexandria database
Functional: PBE-GGA
Structure: optimized geometry

Cell lengths 5.1233, 5.5343, 12.6597 Å; angles 90.00, 90.00, 90.00 degrees
Space group Imm2 (No. 44)
Unique sites:
Rb 0.0000 0.0000 0.0000 x2
Hg 0.0000 0.0000 0.6274 x2
Hg 0.0000 0.5000 0.2453 x2
Bi 0.0000 0.0000 0.3881 x2
Pb 0.0000 0.5000 0.7429 x2

Results
energy of formation: -0.159 eV per atom
E: -1.99 eV per atom
calculated volume: 359.0 Å³ per cell
excess energy over the best structure of this formula in the dataset: 0.00 kJ/mol of atoms